Record 1
DFT (PBE-GGA) results for RbHfAsO after structural relaxation.

Unit cell a=4.613 b=4.613 c=10.296 alpha=90.00 beta=90.00 gamma=90.00
Space group P4/nmm (No. 129, origin choice 2)
Unique sites:
Rb: 0.250 0.250 0.132 (multiplicity 2)
Hf: 0.250 0.750 0.500 (multiplicity 2)
As: 0.250 0.250 0.626 (multiplicity 2)
O: 0.250 0.750 0.000 (multiplicity 2)

DFT total energy = -5.442 eV per atom
distance to the lowest polymorph of the same formula = 1298.8 meV/atom

***

Record 2
DFT (PBE-GGA) results for HfCuAu after structural relaxation.

Unit cell a=3.430 b=3.430 c=8.664 alpha=90.00 beta=90.00 gamma=90.00
Space group P4/mmm (No. 123)
Unique sites:
Hf: 0.000 0.000 0.000 (multiplicity 1)
Hf: 0.500 0.500 0.500 (multiplicity 1)
Cu: 0.000 0.000 0.337 (multiplicity 2)
Au: 0.500 0.500 0.179 (multiplicity 2)

ΔE_f = -34.2 kJ/mol of atoms
DFT total energy = -6.001 eV per atom
distance to the lowest polymorph of the same formula = 1.7 meV/atom

***

Record 3
DFT (PBE-GGA) results for ZnFeSnTe3 after structural relaxation.

Unit cell a=3.975 b=14.229 c=11.055 alpha=90.00 beta=90.00 gamma=90.00
Space group Cmcm (No. 63)
Unique sites:
Zn: 0.000 0.000 0.000 (multiplicity 4)
Fe: 0.000 0.456 0.250 (multiplicity 4)
Sn: 0.000 0.207 0.750 (multiplicity 4)
Te: 0.000 0.077 0.250 (multiplicity 4)
Te: 0.000 0.363 0.047 (multiplicity 8)

DFT total energy = -3.841 eV per atom
distance to the lowest polymorph of the same formula = 3.4 meV/atom

***

Record 4
DFT (PBE-GGA) results for DyTaN2O after structural relaxation.

Unit cell a=6.1940 b=6.1940 c=12.3322 alpha=90.00 beta=90.00 gamma=120.00
Space group P6_3cm (No. 185)
Unique sites:
Dy: 0.0000 0.0000 0.0000 (multiplicity 2)
Dy: 0.3333 0.6667 0.4690 (multiplicity 4)
Ta: 0.0000 0.3337 0.2307 (multiplicity 6)
N: 0.0000 0.3115 0.3885 (multiplicity 6)
N: 0.0000 0.3554 0.0735 (multiplicity 6)
O: 0.0000 0.0000 0.2121 (multiplicity 2)
O: 0.3333 0.6667 0.2423 (multiplicity 4)

DFT total energy = -9.081 eV per atom

***

Record 5
DFT (PBE-GGA) results for Pr2As after structural relaxation.

Unit cell a=13.043 b=13.043 c=13.043 alpha=90.00 beta=90.00 gamma=90.00
Space group Fd-3m (No. 227, origin choice 2)
Unique sites:
Pr: 0.000 0.000 0.000 (multiplicity 16)
As: 0.125 0.125 0.125 (multiplicity 8)

DFT total energy = -4.118 eV per atom

***

Record 6
DFT (PBE-GGA) results for ScCoSiNi after structural relaxation.

Unit cell a=5.872 b=5.872 c=5.872 alpha=90.00 beta=90.00 gamma=90.00
Space group F-43m (No. 216)
Unique sites:
Sc: 0.000 0.000 0.000 (multiplicity 4)
Co: 0.250 0.250 0.250 (multiplicity 4)
Si: 0.000 0.000 0.500 (multiplicity 4)
Ni: 0.250 0.250 0.750 (multiplicity 4)

DFT total energy = -6.687 eV per atom
distance to the lowest polymorph of the same formula = 0.0 meV/atom

***

Record 7
DFT (PBE-GGA) results for RbTmPdSe5 after structural relaxation.

Unit cell a=5.660 b=8.666 c=10.565 alpha=90.00 beta=92.07 gamma=90.00
Space group P2_1/m (No. 11)
Unique sites:
Rb: 0.146 0.250 0.077 (multiplicity 2)
Tm: 0.498 0.250 0.673 (multiplicity 2)
Pd: 0.000 0.000 0.500 (multiplicity 2)
Se: 0.019 0.750 0.382 (multiplicity 2)
Se: 0.279 0.546 0.679 (multiplicity 4)
Se: 0.367 0.750 0.093 (multiplicity 2)
Se: 0.456 0.250 0.379 (multiplicity 2)

DFT total energy = -4.321 eV per atom

***

Record 8
DFT (PBE-GGA) results for KLuCdS3 after structural relaxation.

Unit cell a=4.030 b=14.382 c=10.572 alpha=90.00 beta=90.00 gamma=90.00
Space group Cmcm (No. 63)
Unique sites:
K: 0.000 0.242 0.250 (multiplicity 4)
Lu: 0.000 0.500 0.000 (multiplicity 4)
Cd: 0.000 0.044 0.750 (multiplicity 4)
S: 0.000 0.124 0.543 (multiplicity 8)
S: 0.000 0.434 0.750 (multiplicity 4)

DFT total energy = -4.534 eV per atom
distance to the lowest polymorph of the same formula = 0.0 meV/atom

***

Record 9
DFT (PBE-GGA) results for BaSmMg after structural relaxation.

Unit cell a=8.098 b=8.098 c=8.098 alpha=90.00 beta=90.00 gamma=90.00
Space group F-43m (No. 216)
Unique sites:
Ba: 0.000 0.000 0.000 (multiplicity 4)
Sm: 0.000 0.000 0.500 (multiplicity 4)
Mg: 0.250 0.250 0.250 (multiplicity 4)

DFT total energy = -2.309 eV per atom
distance to the lowest polymorph of the same formula = 0.0 meV/atom

***

Record 10
DFT (PBE-GGA) results for LaNdCo2Ge2 after structural relaxation.

Unit cell a=4.176 b=4.176 c=6.955 alpha=90.00 beta=90.00 gamma=90.00
Space group P4mm (No. 99)
Unique sites:
La: 0.000 0.000 0.000 (multiplicity 1)
Nd: 0.500 0.500 0.379 (multiplicity 1)
Co: 0.000 0.500 0.685 (multiplicity 2)
Ge: 0.000 0.000 0.503 (multiplicity 1)
Ge: 0.500 0.500 0.864 (multiplicity 1)

DFT total energy = -6.136 eV per atom

***

Record 11
DFT (PBE-GGA) results for YCuAu after structural relaxation.

Unit cell a=6.637 b=6.637 c=6.637 alpha=90.00 beta=90.00 gamma=90.00
Space group F-43m (No. 216)
Unique sites:
Y: 0.000 0.000 0.000 (multiplicity 4)
Cu: 0.250 0.250 0.250 (multiplicity 4)
Au: 0.250 0.250 0.750 (multiplicity 4)

ΔE_f = -10.1 kJ/mol of atoms
DFT total energy = -4.588 eV per atom

***

Record 12
DFT (PBE-GGA) results for PuZn after structural relaxation.

Unit cell a=4.876 b=9.095 c=5.585 alpha=90.00 beta=90.00 gamma=90.00
Space group Pmc2_1 (No. 26)
Unique sites:
Pu: 0.000 0.080 0.000 (multiplicity 2)
Pu: 0.000 0.400 0.044 (multiplicity 2)
Pu: 0.500 0.399 0.752 (multiplicity 2)
Zn: 0.000 0.254 0.523 (multiplicity 2)
Zn: 0.500 0.077 0.667 (multiplicity 2)
Zn: 0.500 0.232 0.254 (multiplicity 2)

ΔE_f = -4.6 kJ/mol of atoms
DFT total energy = -7.744 eV per atom

***

no.,calculated density (g cm⁻³)
1,5.378
2,14.301
3,6.615
4,9.421
5,2.136
6,6.256
7,4.846
8,4.582
9,3.903
10,7.480
11,7.940
12,12.446